Below is a relaxed structure of Nd2ErCu12Ni3, with properties calculated at the PBE level.

Values from the calculation:
Energy of formation from the pure elements: 0.239 eV per atom
V: 305.7 Å³/cell

Cell and atoms, written as POSCAR:
```
Nd2ErCu12Ni3
1.0
9.254 1.712 1.214
6.059 7.201 1.214
6.059 3.527 6.395
Nd Er Cu Ni
2 1 12 3
Cartesian
13.650 7.945 5.635
7.722 4.495 3.188
0.000 0.000 0.000
11.148 6.489 6.091
16.207 9.434 5.099
14.900 10.176 7.218
12.370 5.795 4.111
16.207 7.931 7.218
11.148 7.894 4.111
10.223 5.951 2.732
5.165 3.006 3.725
6.472 2.264 1.606
9.001 6.644 4.713
5.165 4.509 1.606
10.223 4.546 4.713
4.627 0.856 0.607
3.029 3.601 0.607
3.029 1.763 3.197
```

=====

Below is a relaxed structure of SiMo2, with properties calculated at the PBE level.

Values from the calculation:
E_form (uncorrected): 0.253 eV per atom
V: 92.1 Å³/cell

Cell and atoms, written as POSCAR:
```
SiMo2
1.0
-1.458 1.458 10.831
1.458 -1.458 10.831
1.458 1.458 -10.831
Si Mo
2 4
Cartesian
0.000 0.000 0.000
0.000 1.458 5.416
0.000 0.000 12.465
1.458 0.000 3.782
0.000 0.000 9.198
1.458 0.000 7.049
```